VASP calculation (PBE+U) on a geometry-optimized MnZnF5 structure.

Cell lengths 5.5054, 5.5054, 5.5054 Å; angles 141.17, 105.48, 87.36 degrees
Last column: nearest neighbours and their distance in Å.
Atoms (fractional coordinates):
Mn 0.5000 0.5000 0.0000  2 F 1.82
Zn 0.0000 0.0000 0.0000  2 F 1.83
F 0.2713 0.2713 0.0000  1 Mn 1.82
F 0.3186 0.0000 0.3186  1 Zn 2.12, 2 Mn 2.19
F 0.0000 0.5000 0.5000  2 Zn 1.83
F 0.6814 0.0000 0.6814  1 Zn 2.12, 2 Mn 2.19
F 0.7287 0.7287 0.0000  1 Mn 1.82

The value obtained for the volume is 97 Å³ per cell. Its offset from the most stable computed form is 80 meV/atom. As for the space group: Immm (71).